Dy8Er3Pu | PBE-GGA | optimized geometry

Cell lengths 8.574, 8.301, 8.574 Å; angles 58.90, 90.00, 121.10 degrees
Each line ends with the local moment (μB).
Fractional positions:
Dy (0.894, 0.535, 0.106)  -0.04
Dy (0.801, 0.065, 0.199)  0.06
Dy (0.736, 0.935, 0.801)  0.06
Dy (0.359, 0.465, 0.894)  -0.04
Dy (0.199, 0.935, 0.264)  0.06
Dy (0.641, 0.535, 0.359)  -0.04
Dy (0.106, 0.465, 0.641)  -0.04
Dy (0.264, 0.065, 0.736)  0.06
Er (0.750, 0.500, 0.750)  -0.29
Er (0.500, 0.000, 0.500)  -0.16
Er (0.250, 0.500, 0.250)  -0.29
Pu (0.000, 0.000, 0.000)  5.51

Energy of formation = 0.60 eV/atom
V = 417 Å³/f.u.
Space-group type = I-42m
DOS(E_F) = 15.8 states/eV/cell